GeB2F2 | PBE-GGA | optimized geometry

```
GeB2F2
1.0
7.175 0.000 0.000
0.000 7.175 0.000
0.000 0.000 2.436
B F Ge
4 4 2
direct
0.782 0.718 0.500 B
0.218 0.282 0.500 B
0.718 0.218 0.500 B
0.282 0.782 0.500 B
0.116 0.384 0.000 F
0.884 0.616 0.000 F
0.616 0.116 0.000 F
0.384 0.884 0.000 F
0.500 0.500 0.000 Ge
0.000 0.000 0.000 Ge
```

Summary:
**ΔE_f (raw)**: 0.1654 eV/atom
**Energy relative to the lowest polymorph listed for this composition**: 293 meV/atom
**Size of the total moment**: 0.00 μB per formula unit
**Total energy**: -4.1776 eV per atom
**N(E_F)**: 1.8 states/eV per cell